(1)
# La4InSbO

An optimized crystal structure of La4InSbO (PBE, the Alexandria database).

Geometry as CIF:
```
data_La4InSbO
_cell_length_a 9.383
_cell_length_b 9.383
_cell_length_c 6.887
_cell_angle_alpha 90.00
_cell_angle_beta 90.00
_cell_angle_gamma 136.82
_space_group_name_H-M_alt 'P 1'
_space_group_IT_number 1
_space_group_name_Hall 'P 1'
loop_
_atom_site_label
_atom_site_type_symbol
_atom_site_fract_x
_atom_site_fract_y
_atom_site_fract_z
La1 La 0.000 0.500 0.000
La2 La 0.000 0.500 0.500
La3 La 0.075 0.925 0.750
La4 La 0.422 0.578 0.750
La5 La 0.500 0.000 0.000
La6 La 0.500 0.000 0.500
La7 La 0.578 0.422 0.250
La8 La 0.925 0.075 0.250
In1 In 0.111 0.889 0.250
In2 In 0.889 0.111 0.750
Sb1 Sb 0.388 0.612 0.250
Sb2 Sb 0.612 0.388 0.750
O1 O 0.255 0.745 0.750
O2 O 0.745 0.255 0.250
```

Space-group type: Cmcm, No. 63
Density (g/cm3): 6.47
Uncorrected formation energy (eV/atom): -1.307
V (Å³/cell): 414.96
Energy (eV per atom): -5.811

***

(2)
# LaInSe2O

An optimized crystal structure of LaInSe2O (PBE, the Alexandria database).

Geometry as CIF:
```
data_LaInSe2O
_cell_length_a 4.153
_cell_length_b 4.153
_cell_length_c 13.615
_cell_angle_alpha 90.00
_cell_angle_beta 90.00
_cell_angle_gamma 90.00
_space_group_name_H-M_alt 'P 1'
_space_group_IT_number 1
_space_group_name_Hall 'P 1'
loop_
_atom_site_label
_atom_site_type_symbol
_atom_site_fract_x
_atom_site_fract_y
_atom_site_fract_z
La1 La 0.250 0.250 0.089
La2 La 0.750 0.750 0.911
In1 In 0.250 0.250 0.609
In2 In 0.750 0.750 0.391
Se1 Se 0.250 0.250 0.413
Se2 Se 0.250 0.250 0.796
Se3 Se 0.750 0.750 0.204
Se4 Se 0.750 0.750 0.587
O1 O 0.250 0.750 0.000
O2 O 0.750 0.250 0.000
```

Space-group type: P4/nmm, No. 129
Density (g/cm3): 6.05
Uncorrected formation energy (eV/atom): -1.811
V (Å³/cell): 234.88
Energy (eV per atom): -5.730

***

(3)
# La2InSe2O2

An optimized crystal structure of La2InSe2O2 (PBE, the Alexandria database).

Geometry as CIF:
```
data_La2InSe2O2
_cell_length_a 8.394
_cell_length_b 8.394
_cell_length_c 8.394
_cell_angle_alpha 150.27
_cell_angle_beta 150.27
_cell_angle_gamma 42.54
_space_group_name_H-M_alt 'P 1'
_space_group_IT_number 1
_space_group_name_Hall 'P 1'
loop_
_atom_site_label
_atom_site_type_symbol
_atom_site_fract_x
_atom_site_fract_y
_atom_site_fract_z
La1 La 0.121 0.121 0.000
La2 La 0.879 0.879 0.000
In1 In 0.500 0.500 0.000
Se1 Se 0.320 0.320 0.000
Se2 Se 0.680 0.680 0.000
O1 O 0.000 0.500 0.500
O2 O 0.500 0.000 0.500
```

Space-group type: I4/mmm, No. 139
Density (g/cm3): 6.67
Uncorrected formation energy (eV/atom): -1.951
V (Å³/cell): 145.06
Energy (eV per atom): -6.162

***

(4)
# LaInSi2O6

An optimized crystal structure of LaInSi2O6 (PBE, the Alexandria database).

Geometry as CIF:
```
data_LaInSi2O6
_cell_length_a 7.259
_cell_length_b 7.259
_cell_length_c 7.460
_cell_angle_alpha 90.27
_cell_angle_beta 90.27
_cell_angle_gamma 112.40
_space_group_name_H-M_alt 'P 1'
_space_group_IT_number 1
_space_group_name_Hall 'P 1'
loop_
_atom_site_label
_atom_site_type_symbol
_atom_site_fract_x
_atom_site_fract_y
_atom_site_fract_z
La1 La 0.153 0.847 0.750
La2 La 0.847 0.153 0.250
In1 In 0.417 0.583 0.250
In2 In 0.583 0.417 0.750
Si1 Si 0.031 0.276 0.751
Si2 Si 0.276 0.031 0.251
Si3 Si 0.724 0.969 0.749
Si4 Si 0.969 0.724 0.249
O1 O 0.069 0.507 0.752
O2 O 0.139 0.861 0.090
O3 O 0.139 0.861 0.410
O4 O 0.210 0.219 0.252
O5 O 0.219 0.210 0.752
O6 O 0.493 0.931 0.748
O7 O 0.507 0.069 0.252
O8 O 0.781 0.790 0.248
O9 O 0.790 0.781 0.748
O10 O 0.861 0.139 0.590
O11 O 0.861 0.139 0.910
O12 O 0.931 0.493 0.248
```

Space-group type: C2/c, No. 15
Density (g/cm3): 3.71
Uncorrected formation energy (eV/atom): -2.583
V (Å³/cell): 363.43
Energy (eV per atom): -7.409

***

> What is the density in the second record?

6.05 g/cm3